Mn2ZnRe | PBE-GGA | optimized geometry

Its total moment is 3.76 μB/cell. The calculation puts the formation energy at 0.16 eV per atom.

The space group is Pm (No. 6) and the conventional cell measures 2.597, 4.231 and 4.866 Å, with angles of 90.00, 99.39 and 90.00 degrees. The inequivalent atoms are Mn at (0.000, 0.000, 0.000), Mn at (0.194, 0.500, 0.721), Zn at (0.488, 0.000, 0.511) and Re at (0.716, 0.500, 0.213).